Entry 1:
{
  "formula": "PmIn2Ge",
  "functional": "GGA-PBE",
  "state": "relaxed",
  "lattice": [[4.423, 0.000, 0.000], [0.000, 4.423, 0.000], [0.000, 0.000, 4.952]],
  "species": ["Pm", "In", "In", "Ge"],
  "fractional_positions": [[0.000, 0.000, 0.000], [0.000, 0.500, 0.500], [0.500, 0.000, 0.500], [0.500, 0.500, 0.000]],
  "energy_ev_per_atom": -4.16,
  "formation_energy_mev_per_atom": -451,
  "crystal_system": "tetragonal"
}

Entry 2:
{
  "formula": "HgGeSeBr2",
  "functional": "GGA-PBE",
  "state": "relaxed",
  "lattice": [[5.252, 0.000, 0.000], [0.000, 5.252, 0.000], [0.000, 0.000, 5.241]],
  "species": ["Hg", "Ge", "Se", "Br", "Br"],
  "fractional_positions": [[0.000, 0.000, 0.000], [0.500, 0.500, 0.500], [0.500, 0.500, 0.000], [0.000, 0.500, 0.500], [0.500, 0.000, 0.500]],
  "energy_ev_per_atom": -2.36,
  "crystal_system": "tetragonal",
  "raw_formation_energy_ev_per_atom": -0.014
}

Entry 3:
{
  "formula": "Rb3LaU2Se6",
  "functional": "GGA-PBE",
  "state": "relaxed",
  "lattice": [[3.753, -6.500, 0.000], [3.753, 6.500, 0.000], [-2.504, 0.000, 8.037]],
  "species": ["Rb", "Rb", "Rb", "La", "U", "U", "Se", "Se", "Se", "Se", "Se", "Se"],
  "fractional_positions": [[0.000, 0.000, 0.000], [0.335, 0.665, 0.000], [0.665, 0.335, 0.000], [0.500, 0.500, 0.500], [0.167, 0.833, 0.500], [0.833, 0.167, 0.500], [0.089, 0.433, 0.300], [0.222, 0.222, 0.699], [0.433, 0.089, 0.300], [0.567, 0.911, 0.700], [0.778, 0.778, 0.301], [0.911, 0.567, 0.700]],
  "energy_ev_per_atom": -5.67,
  "crystal_system": "monoclinic",
  "raw_formation_energy_ev_per_atom": -1.397
}

Entry 4:
{
  "formula": "Ho7TlCo2",
  "functional": "GGA-PBE",
  "state": "relaxed",
  "lattice": [[4.413, -6.654, 0.000], [4.413, 6.654, 0.000], [0.000, 0.000, 4.929]],
  "species": ["Ho", "Ho", "Ho", "Ho", "Ho", "Ho", "Ho", "Tl", "Co", "Co"],
  "fractional_positions": [[0.000, 0.000, 0.000], [0.183, 0.449, 0.000], [0.205, 0.795, 0.500], [0.449, 0.183, 0.000], [0.551, 0.817, 0.000], [0.795, 0.205, 0.500], [0.817, 0.551, 0.000], [0.500, 0.500, 0.500], [0.203, 0.797, 0.000], [0.797, 0.203, 0.000]],
  "energy_ev_per_atom": -4.90,
  "formation_energy_mev_per_atom": -38,
  "crystal_system": "orthorhombic"
}

Entry 5:
{
  "formula": "SrGaFeNi2",
  "functional": "GGA-PBE",
  "state": "relaxed",
  "lattice": [[4.531, 0.000, 0.000], [0.000, 4.531, 0.000], [0.000, 0.000, 4.571]],
  "species": ["Sr", "Ga", "Fe", "Ni", "Ni"],
  "fractional_positions": [[0.000, 0.000, 0.000], [0.500, 0.500, 0.500], [0.500, 0.500, 0.000], [0.000, 0.500, 0.500], [0.500, 0.000, 0.500]],
  "energy_ev_per_atom": -4.57,
  "formation_energy_mev_per_atom": 382,
  "crystal_system": "tetragonal"
}

Entry 6:
{
  "formula": "PmYCuAs",
  "functional": "GGA-PBE",
  "state": "relaxed",
  "lattice": [[0.000, 3.556, 3.556], [3.556, 0.000, 3.556], [3.556, 3.556, 0.000]],
  "species": ["Pm", "Y", "Cu", "As"],
  "fractional_positions": [[0.000, 0.000, 0.000], [0.500, 0.500, 0.500], [0.250, 0.250, 0.250], [0.750, 0.750, 0.750]],
  "energy_ev_per_atom": -5.59,
  "formation_energy_mev_per_atom": -598,
  "crystal_system": "cubic"
}

Entry 7:
{
  "formula": "Cr2TcRu",
  "functional": "GGA-PBE",
  "state": "relaxed",
  "lattice": [[2.865, 0.000, 0.000], [0.000, 2.865, 0.000], [0.000, 0.000, 6.344]],
  "species": ["Cr", "Cr", "Tc", "Ru"],
  "fractional_positions": [[0.000, 0.000, 0.000], [0.500, 0.500, 0.204], [0.500, 0.500, 0.751], [0.000, 0.000, 0.450]],
  "energy_ev_per_atom": -9.63,
  "formation_energy_mev_per_atom": 94,
  "crystal_system": "tetragonal"
}

Entry 8:
{
  "formula": "Hf4TlH",
  "functional": "GGA-PBE",
  "state": "relaxed",
  "lattice": [[3.923, -6.580, 0.000], [3.923, 6.580, 0.000], [-2.333, 0.000, 4.656]],
  "species": ["Hf", "Hf", "Hf", "Hf", "Hf", "Hf", "Hf", "Hf", "Tl", "Tl", "H", "H"],
  "fractional_positions": [[0.064, 0.640, 0.845], [0.106, 0.243, 0.671], [0.243, 0.106, 0.171], [0.360, 0.936, 0.655], [0.640, 0.064, 0.345], [0.757, 0.894, 0.829], [0.894, 0.757, 0.329], [0.936, 0.360, 0.155], [0.409, 0.591, 0.250], [0.591, 0.409, 0.750], [0.098, 0.902, 0.750], [0.902, 0.098, 0.250]],
  "energy_ev_per_atom": -7.48,
  "crystal_system": "monoclinic"
}

Entry 9:
{
  "formula": "InMoOs2",
  "functional": "GGA-PBE",
  "state": "relaxed",
  "lattice": [[-1.596, 2.207, 4.557], [1.596, -2.207, 4.557], [1.596, 2.207, -4.557]],
  "species": ["In", "Mo", "Os", "Os"],
  "fractional_positions": [[0.000, 0.000, 0.000], [0.254, 0.754, 0.500], [0.494, 0.494, 0.000], [0.752, 0.252, 0.500]],
  "energy_ev_per_atom": -8.53,
  "formation_energy_mev_per_atom": 479,
  "crystal_system": "orthorhombic"
}

Entry 10:
{
  "formula": "MgCo2Au",
  "functional": "GGA-PBE",
  "state": "relaxed",
  "lattice": [[-1.946, 1.946, 3.726], [1.946, -1.946, 3.726], [1.946, 1.946, -3.726]],
  "species": ["Mg", "Co", "Co", "Au"],
  "fractional_positions": [[0.000, 0.000, 0.000], [0.500, 0.500, 0.000], [0.750, 0.250, 0.500], [0.250, 0.750, 0.500]],
  "energy_ev_per_atom": -4.73,
  "formation_energy_mev_per_atom": 38,
  "crystal_system": "tetragonal"
}

Entry 11:
{
  "formula": "Ga2IrSCl",
  "functional": "GGA-PBE",
  "state": "relaxed",
  "lattice": [[5.038, 0.000, 0.000], [0.000, 5.038, 0.000], [0.000, 0.000, 4.417]],
  "species": ["Ga", "Ga", "Ir", "S", "Cl"],
  "fractional_positions": [[0.000, 0.500, 0.000], [0.500, 0.000, 0.000], [0.000, 0.000, 0.000], [0.000, 0.000, 0.500], [0.500, 0.500, 0.500]],
  "energy_ev_per_atom": -4.48,
  "crystal_system": "tetragonal",
  "raw_formation_energy_ev_per_atom": -0.300
}

Entry 12:
{
  "formula": "OsRu3",
  "functional": "GGA-PBE",
  "state": "relaxed",
  "lattice": [[-1.366, 4.324, 2.366], [1.366, -4.324, 2.366], [1.366, 4.324, -2.366]],
  "species": ["Os", "Ru", "Ru", "Ru"],
  "fractional_positions": [[0.000, 0.000, 0.000], [0.082, 0.333, 0.749], [0.498, 0.998, 0.500], [0.584, 0.333, 0.251]],
  "energy_ev_per_atom": -9.77,
  "formation_energy_mev_per_atom": -10,
  "crystal_system": "orthorhombic"
}

Entry 13:
{
  "formula": "BTe2IN",
  "functional": "GGA-PBE",
  "state": "relaxed",
  "lattice": [[4.805, 0.000, 0.000], [0.000, 4.805, 0.000], [0.000, 0.000, 4.810]],
  "species": ["B", "Te", "Te", "I", "N"],
  "fractional_positions": [[0.000, 0.000, 0.000], [0.000, 0.500, 0.500], [0.500, 0.000, 0.500], [0.500, 0.500, 0.000], [0.500, 0.500, 0.500]],
  "energy_ev_per_atom": -2.98,
  "crystal_system": "tetragonal",
  "raw_formation_energy_ev_per_atom": 1.591
}

Entry 14:
{
  "formula": "Ca5UAs4",
  "functional": "GGA-PBE",
  "state": "relaxed",
  "lattice": [[9.040, -2.118, 0.000], [9.040, 2.118, 0.000], [-1.868, 0.000, 8.072]],
  "species": ["Ca", "Ca", "Ca", "Ca", "Ca", "U", "As", "As", "As", "As"],
  "fractional_positions": [[0.000, 0.000, 0.000], [0.330, 0.330, 0.652], [0.334, 0.334, 0.174], [0.666, 0.666, 0.826], [0.670, 0.670, 0.348], [0.000, 0.000, 0.500], [0.162, 0.162, 0.586], [0.499, 0.499, 0.742], [0.501, 0.501, 0.258], [0.838, 0.838, 0.414]],
  "energy_ev_per_atom": -4.89,
  "formation_energy_mev_per_atom": -899,
  "crystal_system": "monoclinic"
}

Entry 15:
{
  "formula": "Na4Pm3TiO8",
  "functional": "GGA-PBE",
  "state": "relaxed",
  "lattice": [[5.943, -3.440, 0.000], [5.943, 3.440, 0.000], [-3.950, 0.000, 5.609]],
  "species": ["Na", "Na", "Na", "Na", "Pm", "Pm", "Pm", "Ti", "O", "O", "O", "O", "O", "O", "O", "O"],
  "fractional_positions": [[0.000, 0.000, 0.000], [0.000, 0.500, 0.500], [0.500, 0.000, 0.500], [0.500, 0.500, 0.000], [0.000, 0.000, 0.500], [0.000, 0.500, 0.000], [0.500, 0.000, 0.000], [0.500, 0.500, 0.500], [0.241, 0.241, 0.760], [0.265, 0.721, 0.281], [0.269, 0.269, 0.255], [0.279, 0.735, 0.719], [0.721, 0.265, 0.281], [0.731, 0.731, 0.745], [0.735, 0.279, 0.719], [0.759, 0.759, 0.240]],
  "energy_ev_per_atom": -6.71,
  "crystal_system": "monoclinic",
  "raw_formation_energy_ev_per_atom": -2.519
}

Entry 16:
{
  "formula": "Hf2ZrCd",
  "functional": "GGA-PBE",
  "state": "relaxed",
  "lattice": [[-1.575, 5.137, 2.729], [1.575, -5.137, 2.729], [1.575, 5.137, -2.729]],
  "species": ["Hf", "Hf", "Zr", "Cd"],
  "fractional_positions": [[0.242, 0.000, 0.242], [0.758, 0.000, 0.758], [0.369, 0.369, 0.000], [0.847, 0.347, 0.500]],
  "energy_ev_per_atom": -7.33,
  "formation_energy_mev_per_atom": 12,
  "crystal_system": "orthorhombic"
}

Entry 17:
{
  "formula": "LiAcS3",
  "functional": "GGA-PBE",
  "state": "relaxed",
  "lattice": [[7.313, 0.000, 0.000], [0.000, 4.518, 0.000], [0.000, 0.000, 13.213]],
  "species": ["Li", "Li", "Li", "Li", "Ac", "Ac", "Ac", "Ac", "S", "S", "S", "S", "S", "S", "S", "S", "S", "S", "S", "S"],
  "fractional_positions": [[0.108, 0.250, 0.132], [0.392, 0.750, 0.632], [0.608, 0.250, 0.368], [0.892, 0.750, 0.868], [0.155, 0.750, 0.340], [0.345, 0.250, 0.840], [0.655, 0.750, 0.160], [0.845, 0.250, 0.660], [0.085, 0.750, 0.096], [0.109, 0.750, 0.730], [0.179, 0.250, 0.505], [0.321, 0.750, 0.005], [0.391, 0.250, 0.230], [0.415, 0.250, 0.596], [0.585, 0.750, 0.404], [0.609, 0.750, 0.770], [0.679, 0.250, 0.995], [0.821, 0.750, 0.495], [0.891, 0.250, 0.270], [0.915, 0.250, 0.904]],
  "energy_ev_per_atom": -5.10,
  "crystal_system": "orthorhombic",
  "raw_formation_energy_ev_per_atom": -1.419
}

Entry 18:
{
  "formula": "LiPm2Ga3Au4",
  "functional": "GGA-PBE",
  "state": "relaxed",
  "lattice": [[4.414, 0.000, 0.000], [0.000, 4.414, 0.000], [0.000, 0.000, 10.548]],
  "species": ["Li", "Pm", "Pm", "Ga", "Ga", "Ga", "Au", "Au", "Au", "Au"],
  "fractional_positions": [[0.000, 0.000, 0.000], [0.000, 0.500, 0.741], [0.500, 0.000, 0.259], [0.000, 0.500, 0.365], [0.500, 0.000, 0.635], [0.500, 0.500, 0.000], [0.000, 0.000, 0.500], [0.000, 0.500, 0.128], [0.500, 0.000, 0.872], [0.500, 0.500, 0.500]],
  "energy_ev_per_atom": -3.99,
  "formation_energy_mev_per_atom": -631,
  "crystal_system": "tetragonal"
}

Entry 19:
{
  "formula": "Pa2GaPt5",
  "functional": "GGA-PBE",
  "state": "relaxed",
  "lattice": [[-3.138, 3.138, 3.859], [3.138, -3.138, 3.859], [3.138, 3.138, -3.859]],
  "species": ["Pa", "Pa", "Ga", "Pt", "Pt", "Pt", "Pt", "Pt"],
  "fractional_positions": [[0.000, 0.500, 0.500], [0.500, 0.000, 0.500], [0.371, 0.371, 0.000], [0.022, 0.022, 0.000], [0.520, 0.520, 0.555], [0.520, 0.965, 0.000], [0.965, 0.520, 0.000], [0.965, 0.965, 0.445]],
  "energy_ev_per_atom": -7.30,
  "formation_energy_mev_per_atom": -776,
  "crystal_system": "tetragonal"
}

Entry 20:
{
  "formula": "Ca2ReAgN",
  "functional": "GGA-PBE",
  "state": "relaxed",
  "lattice": [[5.069, 0.000, 0.000], [0.000, 5.069, 0.000], [0.000, 0.000, 3.861]],
  "species": ["Ca", "Ca", "Re", "Ag", "N"],
  "fractional_positions": [[0.000, 0.500, 0.000], [0.500, 0.000, 0.000], [0.000, 0.000, 0.500], [0.500, 0.500, 0.500], [0.000, 0.000, 0.000]],
  "energy_ev_per_atom": -5.79,
  "crystal_system": "tetragonal",
  "raw_formation_energy_ev_per_atom": -0.263
}